(1)
K3V5Te4H8O24 | PBEsol | optimized geometry

Structure (CIF):
```
data_K3V5Te4H8O24
_chemical_formula_sum 'K6 V10 Te8 H16 O48'
_space_group_name_H-M_alt 'P m m n'
_space_group_IT_number 59
_cell_length_a 7.4420
_cell_length_b 16.7725
_cell_length_c 8.8542
_cell_angle_alpha 90.00
_cell_angle_beta 90.00
_cell_angle_gamma 90.00
loop_
_space_group_symop_operation_xyz
'x,y,z'
'-x,-y,-z'
'-x+1/2,-y+1/2,z'
'x+1/2,y+1/2,-z'
'x+1/2,-y,-z'
'-x+1/2,y,z'
'-x,y+1/2,-z'
'x,-y+1/2,z'
loop_
_atom_site_label
_atom_site_type_symbol
_atom_site_fract_x
_atom_site_fract_y
_atom_site_fract_z
_atom_site_occupancy
K1 K 0.2500 0.2500 0.0226 1
K2 K 0.2500 0.7500 0.3847 1
K3 K 0.2500 0.7500 0.9418 1
V1 V 0.0557 0.0926 0.7565 1
V2 V 0.2500 0.2500 0.5563 1
Te1 Te 0.2500 0.0022 0.4583 1
Te2 Te 0.2500 0.5254 0.0102 1
H1 H 0.0267 0.1842 0.3005 1
H2 H 0.0336 0.1049 0.2004 1
O1 O 0.0105 0.1629 0.1967 1
O2 O 0.0612 0.5759 0.4351 1
O3 O 0.0628 0.6603 0.1577 1
O4 O 0.0643 0.0023 0.1521 1
O5 O 0.0652 0.2500 0.4517 1
O6 O 0.2500 0.0023 0.6718 1
O7 O 0.2500 0.0786 0.9167 1
O8 O 0.2500 0.1602 0.6685 1
```

Calculated values
- Total DFT energy (no corrections): -289.608 eV/f.u.
- Volume: 553 Å³/f.u.

***

(2)
BaHf2ScGe | PBEsol | optimized geometry

Structure (CIF):
```
data_BaHf2ScGe
_chemical_formula_sum 'Ba1 Hf2 Sc1 Ge1'
_space_group_name_H-M_alt 'P 4/m m m'
_space_group_IT_number 123
_space_group_name_Hall '-P 4 2'
_cell_length_a 5.0523
_cell_length_b 5.0523
_cell_length_c 5.9056
_cell_angle_alpha 90.00
_cell_angle_beta 90.00
_cell_angle_gamma 90.00
loop_
_atom_site_label
_atom_site_type_symbol
_atom_site_fract_x
_atom_site_fract_y
_atom_site_fract_z
_atom_site_occupancy
Ba1 Ba 0.0000 0.0000 0.0000 1
Hf1 Hf 0.0000 0.5000 0.5000 1
Sc1 Sc 0.5000 0.5000 0.0000 1
Ge1 Ge 0.0000 0.0000 0.5000 1
```

Calculated values
- Total DFT energy (no corrections): -31.731 eV/f.u.
- Volume: 151 Å³/f.u.

***

(3)
KBe2Re | PBEsol | optimized geometry

Structure (CIF):
```
data_KBe2Re
_chemical_formula_sum 'K4 Be8 Re4'
_space_group_name_H-M_alt 'F -4 3 m'
_space_group_IT_number 216
_space_group_name_Hall 'F -4 2 3'
_cell_length_a 6.1568
_cell_length_b 6.1568
_cell_length_c 6.1568
_cell_angle_alpha 90.00
_cell_angle_beta 90.00
_cell_angle_gamma 90.00
loop_
_atom_site_label
_atom_site_type_symbol
_atom_site_fract_x
_atom_site_fract_y
_atom_site_fract_z
_atom_site_occupancy
K1 K 0.0000 0.0000 0.0000 1
Be1 Be 0.0000 0.0000 0.5000 1
Be2 Be 0.2500 0.2500 0.2500 1
Re1 Re 0.2500 0.2500 0.7500 1
```

Calculated values
- Total DFT energy (no corrections): -14.994 eV/f.u.
- Polymorph energy (0 for the lowest one): 432 meV/atom
- Volume: 58 Å³/f.u.

***

(4)
TeIrBr | PBEsol | optimized geometry

Structure (CIF):
```
data_TeIrBr
_chemical_formula_sum 'Te1 Ir1 Br1'
_space_group_name_H-M_alt 'P 3 m 1'
_space_group_IT_number 156
_cell_length_a 3.8058
_cell_length_b 3.8058
_cell_length_c 6.0484
_cell_angle_alpha 90.00
_cell_angle_beta 90.00
_cell_angle_gamma 120.00
loop_
_space_group_symop_operation_xyz
'x,y,z'
'-y,x-y,z'
'-x+y,-x,z'
'-y,-x,z'
'-x+y,y,z'
'x,x-y,z'
loop_
_atom_site_label
_atom_site_type_symbol
_atom_site_fract_x
_atom_site_fract_y
_atom_site_fract_z
_atom_site_occupancy
Te1 Te 0.0000 0.0000 0.0000 1
Ir1 Ir 0.3333 0.6667 0.2219 1
Br1 Br 0.6667 0.3333 0.4645 1
```

Calculated values
- Total DFT energy (no corrections): -15.791 eV/f.u.
- Uncorrected formation energy: -18 kJ per mole of atoms
- Volume: 76 Å³/f.u.

***

(5)
LiSb3 | PBEsol | optimized geometry

Structure (CIF):
```
data_LiSb3
_chemical_formula_sum 'Li2 Sb6'
_space_group_name_H-M_alt 'C m m m'
_space_group_IT_number 65
_space_group_name_Hall '-C 2 2'
_cell_length_a 6.2903
_cell_length_b 8.1480
_cell_length_c 3.8314
_cell_angle_alpha 90.00
_cell_angle_beta 90.00
_cell_angle_gamma 90.00
loop_
_atom_site_label
_atom_site_type_symbol
_atom_site_fract_x
_atom_site_fract_y
_atom_site_fract_z
_atom_site_occupancy
Li1 Li 0.0000 0.0000 0.0000 1
Sb1 Sb 0.0000 0.5000 0.0000 1
Sb2 Sb 0.2500 0.2500 0.5000 1
```

Calculated values
- Total DFT energy (no corrections): -16.034 eV/f.u.
- Uncorrected formation energy: -10 kJ per mole of atoms
- Polymorph energy (0 for the lowest one): 63 meV/atom
- Volume: 98 Å³/f.u.

***

(6)
CaCdTc2 | PBEsol | optimized geometry

Structure (CIF):
```
data_CaCdTc2
_chemical_formula_sum 'Ca2 Cd2 Tc4'
_space_group_name_H-M_alt 'I m m m'
_space_group_IT_number 71
_space_group_name_Hall '-I 2 2'
_cell_length_a 3.3220
_cell_length_b 4.4155
_cell_length_c 9.6025
_cell_angle_alpha 90.00
_cell_angle_beta 90.00
_cell_angle_gamma 90.00
loop_
_atom_site_label
_atom_site_type_symbol
_atom_site_fract_x
_atom_site_fract_y
_atom_site_fract_z
_atom_site_occupancy
Ca1 Ca 0.0000 0.0000 0.0000 1
Cd1 Cd 0.0000 0.0000 0.5000 1
Tc1 Tc 0.0000 0.5000 0.2439 1
```

Calculated values
- Total DFT energy (no corrections): -23.279 eV/f.u.
- Volume: 70 Å³/f.u.

***

(7)
NdZn5 | PBEsol | optimized geometry

Structure (CIF):
```
data_NdZn5
_chemical_formula_sum 'Nd1 Zn5'
_space_group_name_H-M_alt 'P 6/m m m'
_space_group_IT_number 191
_space_group_name_Hall '-P 6 2'
_cell_length_a 5.2850
_cell_length_b 5.2850
_cell_length_c 4.1740
_cell_angle_alpha 90.00
_cell_angle_beta 90.00
_cell_angle_gamma 120.00
loop_
_atom_site_label
_atom_site_type_symbol
_atom_site_fract_x
_atom_site_fract_y
_atom_site_fract_z
_atom_site_occupancy
Nd1 Nd 0.0000 0.0000 0.0000 1
Zn1 Zn 0.0000 0.5000 0.5000 1
Zn2 Zn 0.3333 0.6667 0.0000 1
```

Calculated values
- Total DFT energy (no corrections): -14.996 eV/f.u.
- Volume: 101 Å³/f.u.

***

(8)
TaSiNi | PBEsol | optimized geometry

Structure (CIF):
```
data_TaSiNi
_chemical_formula_sum 'Ta4 Si4 Ni4'
_space_group_name_H-M_alt 'P n m a'
_space_group_IT_number 62
_cell_length_a 6.1524
_cell_length_b 3.6688
_cell_length_c 6.9876
_cell_angle_alpha 90.00
_cell_angle_beta 90.00
_cell_angle_gamma 90.00
loop_
_space_group_symop_operation_xyz
'x,y,z'
'-x,-y,-z'
'-x+1/2,-y,z+1/2'
'x+1/2,y,-z+1/2'
'x+1/2,-y+1/2,-z+1/2'
'-x+1/2,y+1/2,z+1/2'
'-x,y+1/2,-z'
'x,-y+1/2,z'
loop_
_atom_site_label
_atom_site_type_symbol
_atom_site_fract_x
_atom_site_fract_y
_atom_site_fract_z
_atom_site_occupancy
Ta1 Ta 0.0164 0.2500 0.1776 1
Si1 Si 0.2177 0.7500 0.3856 1
Ni1 Ni 0.1569 0.2500 0.5701 1
```

Calculated values
- Total DFT energy (no corrections): -26.712 eV/f.u.
- Uncorrected formation energy: -73 kJ per mole of atoms
- Volume: 39 Å³/f.u.

***

(9)
LiCa2Te | PBEsol | optimized geometry

Structure (CIF):
```
data_LiCa2Te
_chemical_formula_sum 'Li1 Ca2 Te1'
_space_group_name_H-M_alt 'P 4/m m m'
_space_group_IT_number 123
_space_group_name_Hall '-P 4 2'
_cell_length_a 5.1977
_cell_length_b 5.1977
_cell_length_c 4.0680
_cell_angle_alpha 90.00
_cell_angle_beta 90.00
_cell_angle_gamma 90.00
loop_
_atom_site_label
_atom_site_type_symbol
_atom_site_fract_x
_atom_site_fract_y
_atom_site_fract_z
_atom_site_occupancy
Li1 Li 0.0000 0.0000 0.0000 1
Ca1 Ca 0.0000 0.5000 0.5000 1
Te1 Te 0.5000 0.5000 0.0000 1
```

Calculated values
- Total DFT energy (no corrections): -12.426 eV/f.u.
- Uncorrected formation energy: -64 kJ per mole of atoms
- Volume: 110 Å³/f.u.

***

(10)
Li2SnHg | PBEsol | optimized geometry

Structure (CIF):
```
data_Li2SnHg
_chemical_formula_sum 'Li8 Sn4 Hg4'
_space_group_name_H-M_alt 'F m -3 m'
_space_group_IT_number 225
_space_group_name_Hall '-F 4 2 3'
_cell_length_a 6.6167
_cell_length_b 6.6167
_cell_length_c 6.6167
_cell_angle_alpha 90.00
_cell_angle_beta 90.00
_cell_angle_gamma 90.00
loop_
_atom_site_label
_atom_site_type_symbol
_atom_site_fract_x
_atom_site_fract_y
_atom_site_fract_z
_atom_site_occupancy
Li1 Li 0.2500 0.2500 0.2500 1
Sn1 Sn 0.0000 0.0000 0.0000 1
Hg1 Hg 0.0000 0.0000 0.5000 1
```

Calculated values
- Total DFT energy (no corrections): -10.308 eV/f.u.
- Volume: 72 Å³/f.u.